[1]
Density functional theory data (PBEsol) for a geometry-optimized NbSnSb2Pb structure.

## Properties
As for the total magnetic moment: 2.47 μB per cell. Its total energy is -22.7 eV for the cell shown.

a = 5.575 Å, b = 5.575 Å, c = 5.216 Å
α = 90.00°, β = 90.00°, γ = 90.00°
Fractional positions:
Nb: 0.000 0.000 0.000
Sn: 0.000 0.000 0.500
Sb: 0.000 0.500 0.500
Sb: 0.500 0.000 0.500
Pb: 0.500 0.500 0.000

[2]
Density functional theory data (PBEsol) for a geometry-optimized YTa2Cl structure.

## Properties
As for the total magnetic moment: 0.00 μB per cell. The distance to the lowest polymorph of the same formula comes out at 0.0000 eV per atom.

a = 3.314 Å, b = 3.314 Å, c = 26.070 Å
α = 90.00°, β = 90.00°, γ = 120.00°
Fractional positions:
Y: 0.000 0.000 0.000
Y: 0.333 0.667 0.667
Y: 0.667 0.333 0.333
Ta: 0.000 0.000 0.239
Ta: 0.000 0.000 0.502
Ta: 0.333 0.667 0.168
Ta: 0.333 0.667 0.905
Ta: 0.667 0.333 0.572
Ta: 0.667 0.333 0.835
Cl: 0.000 0.000 0.748
Cl: 0.333 0.667 0.414
Cl: 0.667 0.333 0.081

Short version: density of states at the Fermi level = 4.439; 4.375 states/eV/f.u., in the order given.